Tc2OsRu | PBEsol | optimized geometry

Lattice parameters (Å, degrees): 2.693 4.669 4.667 99.50 106.77 90.00
Fractional positions:
Os 0.499 0.496 0.999
Tc 0.753 0.256 0.505
Ru 0.250 0.754 0.500
Tc 0.998 0.994 0.995

Summary:
- polymorph energy (0 for the lowest one) (eV/f.u.) = 0.60
- formation enthalpy at 0 K (eV per atom) = 0.063
- electronic total energy (eV per atom) = -11.168
- total magnetic moment (Bohr magnetons per cell) = 0.00